# BaTlW2

BaTlW2 after structural relaxation (PBE-GGA, the Alexandria database).

## Properties
V ... 119.06 Å³ per cell
Magnetization ... 0.00 μB per cell
E above lowest polymorph ... 691 meV/atom
Formation energy from the elements ... 1287 meV/atom
N(E_F) ... 0.981 states/eV/atom

a b c (Å): 3.2339 6.0149 6.1219
angles (deg): 90.00 91.16 90.00
Atoms (fractional coordinates):
Ba  0.0000  0.0000  0.0000
Tl  0.5000  0.0000  0.5000
W  0.2725  0.5000  0.1481
W  0.7275  0.5000  0.8519

=====

# BaTl4W

BaTl4W after structural relaxation (PBE-GGA, the Alexandria database).

## Properties
V ... 181.37 Å³ per cell
Magnetization ... 3.18 μB per cell
Formation energy from the elements ... 738 meV/atom
N(E_F) ... 0.789 states/eV/atom

a b c (Å): 6.3538 6.3538 6.3538
angles (deg): 60.00 60.00 60.00
Atoms (fractional coordinates):
Ba  0.0000  0.0000  0.0000
Tl  0.1284  0.6239  0.6239
Tl  0.6239  0.1284  0.6239
Tl  0.6239  0.6239  0.1284
Tl  0.6239  0.6239  0.6239
W  0.2500  0.2500  0.2500

=====

# BaTlW2

BaTlW2 after structural relaxation (PBE-GGA, the Alexandria database).

## Properties
V ... 104.55 Å³ per cell
Magnetization ... 0.00 μB per cell
E above lowest polymorph ... 470 meV/atom
Formation energy from the elements ... 1066 meV/atom
N(E_F) ... 0.851 states/eV/atom

a b c (Å): 6.4160 6.4160 6.4160
angles (deg): 149.41 128.30 61.27
Atoms (fractional coordinates):
Ba  0.0000  0.0000  0.0000
Tl  0.2962  0.7962  0.5000
W  0.5572  0.5572  0.0000
W  0.7151  0.2151  0.5000

=====

# BaTl2W

BaTl2W after structural relaxation (PBE-GGA, the Alexandria database).

## Properties
V ... 302.55 Å³ per cell
Magnetization ... 3.93 μB per cell
E above lowest polymorph ... 275 meV/atom
Formation energy from the elements ... 916 meV/atom
N(E_F) ... 0.491 states/eV/atom

a b c (Å): 10.0094 10.0094 10.0094
angles (deg): 146.61 146.61 47.95
Atoms (fractional coordinates):
Ba  0.0000  0.0000  0.0000
Ba  0.7500  0.2500  0.5000
Tl  0.2813  0.6250  0.1563
Tl  0.3750  0.5313  0.6563
Tl  0.4687  0.1250  0.8437
Tl  0.8750  0.7187  0.3437
W  0.2500  0.7500  0.5000
W  0.5000  0.5000  0.0000

=====

# BaTl2W

BaTl2W after structural relaxation (PBE-GGA, the Alexandria database).

## Properties
V ... 105.84 Å³ per cell
Magnetization ... 0.97 μB per cell
E above lowest polymorph ... 22 meV/atom
Formation energy from the elements ... 663 meV/atom
N(E_F) ... 0.963 states/eV/atom

a b c (Å): 3.2137 3.9951 8.2439
angles (deg): 90.00 90.00 90.00
Atoms (fractional coordinates):
Ba  0.0000  0.0000  0.0000
Tl  0.5000  0.5000  0.3019
Tl  0.5000  0.5000  0.6981
W  0.0000  0.0000  0.5000

=====

# BaTlW2

BaTlW2 after structural relaxation (PBE-GGA, the Alexandria database).

## Properties
V ... 94.44 Å³ per cell
Magnetization ... 0.00 μB per cell
E above lowest polymorph ... 239 meV/atom
Formation energy from the elements ... 835 meV/atom
N(E_F) ... 0.883 states/eV/atom

a b c (Å): 3.1297 3.1297 10.4808
angles (deg): 90.00 90.00 113.09
Atoms (fractional coordinates):
Ba  0.0000  0.0000  0.0000
Tl  0.5000  0.5000  0.3033
W  0.0000  0.0000  0.5447
W  0.5000  0.5000  0.7200

=====

# BaTl2W

BaTl2W after structural relaxation (PBE-GGA, the Alexandria database).

## Properties
V ... 118.61 Å³ per cell
Magnetization ... 3.20 μB per cell
E above lowest polymorph ... 340 meV/atom
Formation energy from the elements ... 981 meV/atom
N(E_F) ... 0.675 states/eV/atom

a b c (Å): 4.8864 4.8864 4.9674
angles (deg): 90.00 90.00 90.00
Atoms (fractional coordinates):
Ba  0.0000  0.0000  0.0000
Tl  0.0000  0.5000  0.5000
Tl  0.5000  0.0000  0.5000
W  0.5000  0.5000  0.0000

=====

# BaTlW2

BaTlW2 after structural relaxation (PBE-GGA, the Alexandria database).

## Properties
V ... 105.02 Å³ per cell
Magnetization ... 0.00 μB per cell
E above lowest polymorph ... 252 meV/atom
Formation energy from the elements ... 849 meV/atom
N(E_F) ... 1.079 states/eV/atom

a b c (Å): 4.5999 4.5999 7.6933
angles (deg): 96.56 96.56 40.54
Atoms (fractional coordinates):
Ba  0.0000  0.0000  0.0000
Tl  0.2418  0.2418  0.6610
W  0.4949  0.4949  0.4354
W  0.7714  0.7714  0.3167

=====

- What is the formation energy from the elements in the seventh record?
  981 meV/atom

=====

- Among the records above, which one has the lowest V?
  number 6